TcAs2Br: relaxed, PBE.

Values from the calculation:
Energy above the most stable polymorph in this dataset, meV/atom: 828.1
Uncorrected formation energy, eV/atom: 0.819

The structure in POSCAR format:
```
TcAs2Br
1.0
4.987 0.000 0.000
0.000 4.987 0.000
0.000 0.000 2.986
Tc As Br
1 2 1
Cartesian
0.000 0.000 0.000
0.000 2.494 1.493
2.494 0.000 1.493
2.494 2.494 0.000
```